Record 1
A plane-wave DFT calculation with GGA-PBE was carried out for crystalline CrBBrN2 at its relaxed geometry.

- Electronic total energy: -21.86 eV per cell
- Raw formation energy: 12.8 eV/f.u.
- M_tot: 0.700 μB per atom
- V: 12.70 Å³/atom

Unit cell a=4.0062 b=4.0062 c=3.9557 alpha=90.00 beta=90.00 gamma=90.00
Space group P4/mmm (No. 123)
Inequivalent atoms, fractional coordinates:
Cr: 0.0000 0.0000 0.0000 [1 per cell]
B: 0.5000 0.5000 0.0000 [1 per cell]
Br: 0.5000 0.5000 0.5000 [1 per cell]
N: 0.0000 0.5000 0.5000 [2 per cell]

Record 2
A plane-wave DFT calculation with GGA-PBE was carried out for crystalline LaTbDyEr at its relaxed geometry.

- Electronic total energy: -17.97 eV per cell
- ΔE_f: 0.188 eV/atom
- Energy above the most stable polymorph in this dataset: 72 meV per atom
- M_tot: 0.000 μB per atom
- V: 32.99 Å³/atom

Unit cell a=5.6910 b=3.4243 c=6.7712 alpha=90.00 beta=90.02 gamma=90.00
Space group Pm (No. 6)
Inequivalent atoms, fractional coordinates:
La: 0.0000 0.0000 0.0000 [1 per cell]
Tb: 0.4991 0.5000 0.2650 [1 per cell]
Dy: 0.4992 0.0000 0.7494 [1 per cell]
Er: 0.9988 0.0000 0.4923 [1 per cell]

Record 3
A plane-wave DFT calculation with GGA-PBE was carried out for crystalline Ce2PmNd3S6 at its relaxed geometry.

- Electronic total energy: -160.32 eV per cell
- Raw formation energy: -24.5 eV/f.u.
- M_tot: 0.129 μB per atom
- V: 23.47 Å³/atom

Unit cell a=7.0053 b=12.1467 c=7.0225 alpha=90.00 beta=109.51 gamma=90.00
Space group C2/m (No. 12)
Inequivalent atoms, fractional coordinates:
Ce: 0.0000 0.1664 0.0000 [4 per cell]
Pm: 0.0000 0.5000 0.0000 [2 per cell]
Nd: 0.0000 0.0000 0.5000 [2 per cell]
Nd: 0.0000 0.3352 0.5000 [4 per cell]
S: 0.2476 0.0000 0.2457 [4 per cell]
S: 0.2495 0.3328 0.2471 [8 per cell]

Record 4
A plane-wave DFT calculation with GGA-PBE was carried out for crystalline SrNiSb2 at its relaxed geometry.

- Electronic total energy: -143.77 eV per cell
- Raw formation energy: -2.3 eV/f.u.
- M_tot: 0.000 μB per atom
- V: 26.22 Å³/atom

Unit cell a=6.2961 b=21.1898 c=6.2899 alpha=90.00 beta=90.00 gamma=90.00
Space group Fmm2 (No. 42)
Inequivalent atoms, fractional coordinates:
Sr: 0.0000 0.1258 0.0000 [8 per cell]
Ni: 0.2500 0.2500 0.2495 [8 per cell]
Sb: 0.0000 0.1913 0.4997 [8 per cell]
Sb: 0.2315 0.0000 0.7360 [8 per cell]

Record 5
A plane-wave DFT calculation with GGA-PBE was carried out for crystalline Ca4Tc at its relaxed geometry.

- Electronic total energy: -16.27 eV per cell
- ΔE_f: 0.421 eV/atom
- Energy above the most stable polymorph in this dataset: 0 meV per atom
- M_tot: 0.265 μB per atom
- V: 35.60 Å³/atom

Unit cell a=5.6251 b=5.6251 c=5.6251 alpha=90.00 beta=90.00 gamma=90.00
Space group Pm-3m (No. 221)
Inequivalent atoms, fractional coordinates:
Ca: 0.0000 0.0000 0.0000 [1 per cell]
Ca: 0.0000 0.5000 0.5000 [3 per cell]
Tc: 0.5000 0.5000 0.5000 [1 per cell]

Record 6
A plane-wave DFT calculation with GGA-PBE was carried out for crystalline PmGeBiO6 at its relaxed geometry.

- Electronic total energy: -57.15 eV per cell
- Raw formation energy: -14.2 eV/f.u.
- M_tot: 0.000 μB per atom
- V: 13.39 Å³/atom

Unit cell a=5.4790 b=5.4790 c=4.6342 alpha=90.00 beta=90.00 gamma=120.00
Space group P312 (No. 149)
Inequivalent atoms, fractional coordinates:
Pm: 0.0000 0.0000 0.0000 [1 per cell]
Ge: 0.3333 0.6667 0.0000 [1 per cell]
Bi: 0.6667 0.3333 0.5000 [1 per cell]
O: 0.0273 0.3809 0.2384 [6 per cell]